Below is a relaxed VS2IF crystal, with properties calculated at the GGA+U level.

Values from the calculation:
- calculated total energy (eV/atom) = -2.877
- N(E_F) (states/eV/atom) = 0.22
- spin magnetization (μB/atom) = 0.20
- V (Å³/atom) = 27.91
- theoretical density (g cm⁻³) = 3.10

```
data_VS2IF
_cell_length_a 5.004
_cell_length_b 5.004
_cell_length_c 5.575
_cell_angle_alpha 90.00
_cell_angle_beta 90.00
_cell_angle_gamma 90.00
_symmetry_space_group_name_H-M 'P 4/m m m'
_symmetry_Int_Tables_number 123
_symmetry_space_group_name_Hall '-P 4 2'
loop_
_atom_site_label
_atom_site_fract_x
_atom_site_fract_y
_atom_site_fract_z
V1 0.000 0.000 0.000
S1 0.000 0.500 0.500
I1 0.000 0.000 0.500
F1 0.500 0.500 0.000
```